Record 1
# CaInCo2

A relaxed structure of CaInCo2 (PBE-GGA, Alexandria).

Geometry as POSCAR:
```
CaInCo2
1.0
-1.5886 2.3449 4.8251
1.5886 -2.3449 4.8251
1.5886 2.3449 -4.8251
Ca In Co
1 1 2
Direct
0.0000 0.0000 0.0000 Ca
0.7120 0.2120 0.5000 In
0.2874 0.7874 0.5000 Co
0.4666 0.4666 0.0000 Co
```

Calculated values
formation energy from the elements = 0.190 eV per atom

Record 2
# ErOsRu

A relaxed structure of ErOsRu (PBE-GGA, Alexandria).

Geometry as POSCAR:
```
ErOsRu
1.0
-2.6138 2.7167 3.7570
2.6138 -2.7167 3.7570
2.6138 2.7167 -3.7570
Er Os Ru
2 2 2
Direct
0.3729 0.1229 0.2500 Er
0.6271 0.8771 0.7500 Er
0.0000 0.0000 0.5000 Os
0.0000 0.5000 0.0000 Os
0.0000 0.5000 0.5000 Ru
0.5000 0.5000 0.0000 Ru
```

Calculated values
formation energy from the elements = -0.326 eV per atom
energy above the most stable polymorph in this dataset = 0 meV/atom

Record 3
# CaNd12Dy7

A relaxed structure of CaNd12Dy7 (PBE-GGA, Alexandria).

Geometry as POSCAR:
```
CaNd12Dy7
1.0
-5.8282 5.8282 5.8282
5.8282 -5.8282 5.8282
5.8282 5.8282 -5.8282
Ca Nd Dy
1 12 7
Direct
0.0000 0.0000 0.0000 Ca
0.0000 0.2584 0.7416 Nd
0.0000 0.7416 0.2584 Nd
0.2584 0.0000 0.7416 Nd
0.2584 0.2584 0.5169 Nd
0.2584 0.5169 0.2584 Nd
0.2584 0.7416 0.0000 Nd
0.4831 0.7416 0.7416 Nd
0.5169 0.2584 0.2584 Nd
0.7416 0.0000 0.2584 Nd
0.7416 0.2584 0.0000 Nd
0.7416 0.4831 0.7416 Nd
0.7416 0.7416 0.4831 Nd
0.0000 0.0000 0.5000 Dy
0.0000 0.5000 0.0000 Dy
0.0000 0.5000 0.5000 Dy
0.5000 0.0000 0.0000 Dy
0.5000 0.0000 0.5000 Dy
0.5000 0.5000 0.0000 Dy
0.5000 0.5000 0.5000 Dy
```

Calculated values
formation energy from the elements = 0.631 eV per atom

Record 4
# TcCl4

A relaxed structure of TcCl4 (PBE-GGA, Alexandria).

Geometry as POSCAR:
```
TcCl4
1.0
-3.0576 3.0576 3.0576
3.0576 -3.0576 3.0576
3.0576 3.0576 -3.0576
Tc Cl
1 4
Direct
0.0000 0.0000 0.0000 Tc
0.0000 0.0000 0.5000 Cl
0.0000 0.5000 0.0000 Cl
0.5000 0.0000 0.0000 Cl
0.5000 0.5000 0.5000 Cl
```

Calculated values
energy above the most stable polymorph in this dataset = 798 meV/atom
E_form (uncorrected) = 128 meV/atom

Record 5
# CaAcNdAl

A relaxed structure of CaAcNdAl (PBE-GGA, Alexandria).

Geometry as POSCAR:
```
CaAcNdAl
1.0
0.0000 4.0164 4.0164
4.0164 0.0000 4.0164
4.0164 4.0164 0.0000
Ca Ac Nd Al
1 1 1 1
Direct
0.0000 0.0000 0.0000 Ca
0.2500 0.2500 0.2500 Ac
0.7500 0.7500 0.7500 Nd
0.5000 0.5000 0.5000 Al
```

Calculated values
formation energy from the elements = -0.039 eV per atom

Record 6
# Pm8Te3S3N

A relaxed structure of Pm8Te3S3N (PBE-GGA, Alexandria).

Geometry as POSCAR:
```
Pm8Te3S3N
1.0
7.1004 -4.1069 0.0000
7.1004 4.1069 0.0000
-4.7294 0.0000 7.1681
Pm Te S N
8 3 3 1
Direct
0.2148 0.2148 0.6936 Pm
0.2147 0.7641 0.6935 Pm
0.2359 0.7853 0.3065 Pm
0.2658 0.2658 0.2973 Pm
0.7342 0.7342 0.7027 Pm
0.7641 0.2147 0.6935 Pm
0.7853 0.2359 0.3065 Pm
0.7852 0.7852 0.3064 Pm
0.0000 0.0000 0.0000 Te
0.0000 0.5000 0.0000 Te
0.5000 0.0000 0.0000 Te
0.0000 0.5000 0.5000 S
0.5000 0.0000 0.5000 S
0.5000 0.5000 0.5000 S
0.0000 0.0000 0.5000 N
```

Calculated values
E_form (uncorrected) = -1530 meV/atom